Entry 1:
This record from Alexandria via LeMat-Bulk describes crystalline BaCaGaAs2 at its relaxed geometry. The functional is PBE.

Calculated values
crystal system	tetragonal
calculated density	3.7	g cm⁻³
density of states at the Fermi level	3.9	states/eV/cell
magnetization	0.000	μB per atom
energy above the most stable polymorph in this dataset	0.972	eV per atom
E_tot	-3.00	eV/atom
ΔE_f	1.230	eV per formula unit

abc: 5.3760 5.3760 6.1243
angles: 90.00 90.00 90.00
Closest atoms and distances in Å follow each position.
Space group P4/mmm (No. 123)
Asymmetric unit:
Ba: 0.0000 0.0000 0.0000 [1 per cell]  2 Ca 3.06
Ca: 0.0000 0.0000 0.5000 [1 per cell]  4 As 2.69
Ga: 0.5000 0.5000 0.0000 [1 per cell]  4 Ba 3.80, 8 As 4.07
As: 0.0000 0.5000 0.5000 [2 per cell]  2 Ca 2.69

Entry 2:
This record from Alexandria via LeMat-Bulk describes crystalline BaCaGeAs2 at its relaxed geometry. The functional is PBE.

Calculated values
crystal system	monoclinic
calculated density	4.7	g cm⁻³
density of states at the Fermi level	5.6	states/eV/cell
magnetization	0.000	μB per atom
E_tot	-4.25	eV/atom
ΔE_f	-3.392	eV per formula unit

abc: 7.5219 6.1556 6.7755
angles: 90.00 116.66 90.00
Closest atoms and distances in Å follow each position.
Space group P2/c (No. 13)
Asymmetric unit:
Ba: 0.0000 0.2234 0.2500 [2 per cell]  8 As 3.32-3.65, 2 Ge 3.63
Ca: 0.5000 0.4988 0.7500 [2 per cell]  4 As 3.01
Ge: 0.5000 0.0000 0.0000 [2 per cell]  2 As 2.66
As: 0.1931 0.2731 0.8478 [4 per cell]  1 As 2.60, 1 Ge 2.66

Entry 3:
This record from Alexandria via LeMat-Bulk describes crystalline BaCaAsH at its relaxed geometry. The functional is PBE.

Calculated values
crystal system	hexagonal
calculated density	3.7	g cm⁻³
density of states at the Fermi level	0.0	states/eV/cell
magnetization	0.000	μB per atom
E_tot	-3.89	eV/atom

abc: 4.8757 4.8757 11.1123
angles: 90.00 90.00 120.00
Closest atoms and distances in Å follow each position.
Space group P6_3mc (No. 186)
Asymmetric unit:
Ba: 0.3333 0.6667 0.0000 [2 per cell]  3 H 2.87
Ca: 0.0000 0.0000 0.2548 [2 per cell]  1 H 2.29
As: 0.3333 0.6667 0.3154 [2 per cell]  3 Ca 2.89
H: 0.0000 0.0000 0.0485 [2 per cell]  1 Ca 2.29

Entry 4:
This record from Alexandria via LeMat-Bulk describes crystalline Ba2Ca4As3H2 at its relaxed geometry. The functional is PBE.

Calculated values
crystal system	tetragonal
calculated density	3.9	g cm⁻³
density of states at the Fermi level	7.5	states/eV/cell
magnetization	0.049	μB per atom
E_tot	-3.91	eV/atom

abc: 4.7403 4.7403 25.0154
angles: 90.00 90.00 90.00
Closest atoms and distances in Å follow each position.
Space group I4/mmm (No. 139)
Asymmetric unit:
Ba: 0.0000 0.0000 0.1997 [4 per cell]  1 H 2.79
Ca: 0.0000 0.5000 0.0760 [8 per cell]  2 H 2.39
As: 0.0000 0.0000 0.3401 [4 per cell]  4 Ca 3.17, 5 Ba 3.50-3.51
As: 0.0000 0.0000 0.5000 [2 per cell]  8 Ca 3.04
H: 0.0000 0.0000 0.0880 [4 per cell]  4 Ca 2.39

Entry 5:
This record from Alexandria via LeMat-Bulk describes crystalline BaCaAsI at its relaxed geometry. The functional is PBE.

Calculated values
crystal system	trigonal
calculated density	4.3	g cm⁻³
magnetization	0.000	μB per atom
formation energy from raw total energies	-5.6	eV/f.u.
E_tot	-3.93	eV/atom

abc: 4.5671 4.5671 24.4753
angles: 90.00 90.00 120.00
Closest atoms and distances in Å follow each position.
Space group R3m (No. 160, hexagonal axes)
Asymmetric unit:
Ba: 0.0000 0.0000 0.0000 [3 per cell]  3 As 3.21
Ca: 0.0000 0.0000 0.2015 [3 per cell]  3 As 2.98
As: 0.0000 0.0000 0.5916 [3 per cell]  3 Ca 2.98, 3 Ba 3.21
I: 0.0000 0.0000 0.7759 [3 per cell]  3 Ca 3.47, 3 Ba 3.76

Entry 6:
This record from Alexandria via LeMat-Bulk describes crystalline Ba2CaAsIr at its relaxed geometry. The functional is PBE.

Calculated values
crystal system	tetragonal
calculated density	4.6	g cm⁻³
density of states at the Fermi level	4.4	states/eV/cell
magnetization	0.004	μB per atom
E_tot	-3.02	eV/atom
ΔE_f	4.272	eV per formula unit

abc: 6.4355 6.4355 5.0683
angles: 90.00 90.00 90.00
Closest atoms and distances in Å follow each position.
Space group P4/mmm (No. 123)
Asymmetric unit:
Ba: 0.0000 0.5000 0.0000 [2 per cell]  2 Ca 3.22
Ca: 0.0000 0.0000 0.0000 [1 per cell]  2 As 2.53
As: 0.0000 0.0000 0.5000 [1 per cell]  2 Ca 2.53
Ir: 0.5000 0.5000 0.5000 [1 per cell]  8 Ba 4.10, 4 As 4.55

Entry 7:
This record from Alexandria via LeMat-Bulk describes crystalline KBaCa2As at its relaxed geometry. The functional is PBE.

Calculated values
crystal system	tetragonal
calculated density	2.4	g cm⁻³
density of states at the Fermi level	4.2	states/eV/cell
magnetization	0.229	μB per atom
E_tot	-2.75	eV/atom
ΔE_f	-2.096	eV per formula unit

abc: 5.8874 5.8874 6.5961
angles: 90.00 90.00 90.00
Closest atoms and distances in Å follow each position.
Space group P4/mmm (No. 123)
Asymmetric unit:
K: 0.0000 0.0000 0.0000 [1 per cell]  4 Ba 4.16, 8 Ca 4.42
Ba: 0.5000 0.5000 0.0000 [1 per cell]  2 As 3.30
Ca: 0.0000 0.5000 0.5000 [2 per cell]  2 As 2.94
As: 0.5000 0.5000 0.5000 [1 per cell]  4 Ca 2.94

Entry 8:
This record from Alexandria via LeMat-Bulk describes crystalline KBaCaAs2 at its relaxed geometry. The functional is PBE.

Calculated values
crystal system	tetragonal
calculated density	3.5	g cm⁻³
density of states at the Fermi level	3.6	states/eV/cell
magnetization	0.000	μB per atom
E_tot	-2.66	eV/atom
ΔE_f	1.044	eV per formula unit

abc: 5.8299 5.8299 5.1427
angles: 90.00 90.00 90.00
Closest atoms and distances in Å follow each position.
Space group P4/mmm (No. 123)
Asymmetric unit:
K: 0.0000 0.0000 0.0000 [1 per cell]  2 Ca 2.57
Ba: 0.5000 0.5000 0.5000 [1 per cell]  8 As 3.89, 4 Ca 4.12
Ca: 0.0000 0.0000 0.5000 [1 per cell]  2 K 2.57
As: 0.0000 0.5000 0.0000 [2 per cell]  2 K 2.91

Entry 9:
This record from Alexandria via LeMat-Bulk describes crystalline BaLiCa2As at its relaxed geometry. The functional is PBE.

Calculated values
crystal system	tetragonal
calculated density	2.4	g cm⁻³
density of states at the Fermi level	5.6	states/eV/cell
magnetization	0.001	μB per atom
E_tot	-2.92	eV/atom
ΔE_f	-2.133	eV per formula unit

abc: 5.7084 5.7084 6.4730
angles: 90.00 90.00 90.00
Closest atoms and distances in Å follow each position.
Space group P4/mmm (No. 123)
Asymmetric unit:
Ba: 0.0000 0.0000 0.0000 [1 per cell]  2 As 3.24
Li: 0.5000 0.5000 0.0000 [1 per cell]  4 Ba 4.04, 8 Ca 4.32
Ca: 0.0000 0.5000 0.5000 [2 per cell]  2 As 2.85
As: 0.0000 0.0000 0.5000 [1 per cell]  4 Ca 2.85

Entry 10:
This record from Alexandria via LeMat-Bulk describes crystalline BaLi2CaAs2 at its relaxed geometry. The functional is PBE.

Calculated values
crystal system	trigonal
calculated density	3.9	g cm⁻³
magnetization	0.000	μB per atom
E_tot	-3.86	eV/atom
ΔE_f	-6.111	eV per formula unit

abc: 4.5674 4.5674 7.9700
angles: 90.00 90.00 120.00
Closest atoms and distances in Å follow each position.
Space group P-3m1 (No. 164)
Asymmetric unit:
Ba: 0.0000 0.0000 0.0000 [1 per cell]  6 As 3.47, 6 Li 3.69
Li: 0.3333 0.6667 0.6764 [2 per cell]  3 As 2.66
Ca: 0.0000 0.0000 0.5000 [1 per cell]  6 Li 2.99, 6 As 3.15
As: 0.3333 0.6667 0.2832 [2 per cell]  3 Li 2.66

Entry 11:
This record from Alexandria via LeMat-Bulk describes crystalline BaCa2MgAs at its relaxed geometry. The functional is PBE.

Calculated values
crystal system	tetragonal
calculated density	2.5	g cm⁻³
density of states at the Fermi level	5.3	states/eV/cell
magnetization	0.000	μB per atom
E_tot	-2.87	eV/atom
ΔE_f	-2.164	eV per formula unit

abc: 5.6527 5.6527 6.4582
angles: 90.00 90.00 90.00
Closest atoms and distances in Å follow each position.
Space group P4/mmm (No. 123)
Asymmetric unit:
Ba: 0.0000 0.0000 0.0000 [1 per cell]  2 As 3.23
Ca: 0.0000 0.5000 0.5000 [2 per cell]  2 As 2.83
Mg: 0.5000 0.5000 0.0000 [1 per cell]  4 Ba 4.00, 8 Ca 4.29
As: 0.0000 0.0000 0.5000 [1 per cell]  4 Ca 2.83

Entry 12:
This record from Alexandria via LeMat-Bulk describes crystalline Ba2CaMnAs at its relaxed geometry. The functional is PBE.

Calculated values
crystal system	tetragonal
calculated density	3.8	g cm⁻³
density of states at the Fermi level	4.8	states/eV/cell
magnetization	0.528	μB per atom
E_tot	-3.12	eV/atom
ΔE_f	4.059	eV per formula unit

abc: 6.3467 6.3467 4.8676
angles: 90.00 90.00 90.00
Closest atoms and distances in Å follow each position.
Space group P4/mmm (No. 123)
Asymmetric unit:
Ba: 0.0000 0.5000 0.0000 [2 per cell]  2 Ca 3.17
Ca: 0.0000 0.0000 0.0000 [1 per cell]  2 Mn 2.43
Mn: 0.0000 0.0000 0.5000 [1 per cell]  2 Ca 2.43
As: 0.5000 0.5000 0.5000 [1 per cell]  8 Ba 4.00

Entry 13:
This record from Alexandria via LeMat-Bulk describes crystalline Ba2CaAsN at its relaxed geometry. The functional is PBE.

Calculated values
crystal system	tetragonal
calculated density	4.6	g cm⁻³
density of states at the Fermi level	0.6	states/eV/cell
magnetization	0.000	μB per atom
formation energy from raw total energies	-3.8	eV/f.u.
E_tot	-4.53	eV/atom

abc: 5.5239 5.5239 4.8129
angles: 90.00 90.00 90.00
Closest atoms and distances in Å follow each position.
Space group P4/mmm (No. 123)
Asymmetric unit:
Ba: 0.0000 0.5000 0.0000 [2 per cell]  2 N 2.76
Ca: 0.0000 0.0000 0.5000 [1 per cell]  2 N 2.41
As: 0.5000 0.5000 0.5000 [1 per cell]  8 Ba 3.66, 4 Ca 3.91
N: 0.0000 0.0000 0.0000 [1 per cell]  2 Ca 2.41

Entry 14:
This record from Alexandria via LeMat-Bulk describes crystalline BaNaCa2As at its relaxed geometry. The functional is PBE.

Calculated values
crystal system	tetragonal
calculated density	2.4	g cm⁻³
density of states at the Fermi level	5.5	states/eV/cell
magnetization	0.100	μB per atom
E_tot	-2.85	eV/atom
ΔE_f	-2.342	eV per formula unit

abc: 5.7678 5.7678 6.5117
angles: 90.00 90.00 90.00
Closest atoms and distances in Å follow each position.
Space group P4/mmm (No. 123)
Asymmetric unit:
Ba: 0.0000 0.0000 0.0000 [1 per cell]  2 As 3.26
Na: 0.5000 0.5000 0.0000 [1 per cell]  4 Ba 4.08, 8 Ca 4.35
Ca: 0.0000 0.5000 0.5000 [2 per cell]  2 As 2.88
As: 0.0000 0.0000 0.5000 [1 per cell]  4 Ca 2.88

Entry 15:
This record from Alexandria via LeMat-Bulk describes crystalline BaCa2AsP at its relaxed geometry. The functional is PBE.

Calculated values
crystal system	tetragonal
calculated density	2.9	g cm⁻³
density of states at the Fermi level	0.0	states/eV/cell
magnetization	0.000	μB per atom
E_tot	-4.23	eV/atom
ΔE_f	-5.146	eV per formula unit

abc: 5.0460 5.0460 7.2022
angles: 90.00 90.00 90.00
Closest atoms and distances in Å follow each position.
Space group P4mm (No. 99)
Asymmetric unit:
Ba: 0.0000 0.0000 0.0000 [1 per cell]  1 P 3.04
Ca: 0.0000 0.5000 0.4236 [2 per cell]  2 P 2.76, 2 As 3.07
As: 0.5000 0.5000 0.1811 [1 per cell]  4 Ca 3.07
P: 0.0000 0.0000 0.5778 [1 per cell]  4 Ca 2.76, 1 Ba 3.04

Entry 16:
This record from Alexandria via LeMat-Bulk describes crystalline BaCaAs2Pd2 at its relaxed geometry. The functional is PBE.

Calculated values
crystal system	trigonal
calculated density	6.2	g cm⁻³
density of states at the Fermi level	4.0	states/eV/cell
magnetization	0.000	μB per atom
E_tot	-4.87	eV/atom
ΔE_f	-5.621	eV per formula unit

abc: 4.3189 4.3189 9.0061
angles: 90.00 90.00 120.00
Closest atoms and distances in Å follow each position.
Space group P-3m1 (No. 164)
Asymmetric unit:
Ba: 0.0000 0.0000 0.0000 [1 per cell]  6 As 3.46, 6 Pd 3.53
Ca: 0.0000 0.0000 0.5000 [1 per cell]  6 Pd 3.20, 6 As 3.26
As: 0.3333 0.6667 0.2664 [2 per cell]  3 Pd 2.50
Pd: 0.3333 0.6667 0.7233 [2 per cell]  3 As 2.50

Entry 17:
This record from Alexandria via LeMat-Bulk describes crystalline Ba2CaAs3Pd12 at its relaxed geometry. The functional is PBE.

Calculated values
crystal system	trigonal
calculated density	8.6	g cm⁻³
density of states at the Fermi level	34.2	states/eV/cell
magnetization	0.000	μB per atom
E_tot	-4.86	eV/atom
ΔE_f	-5.335	eV per formula unit

abc: 9.5253 9.5253 13.3988
angles: 90.00 90.00 120.00
Closest atoms and distances in Å follow each position.
Space group R-3m (No. 166, hexagonal axes)
Asymmetric unit:
Ba: 0.0000 0.0000 0.1259 [6 per cell]  3 Pd 2.79
Ca: 0.0000 0.0000 0.5000 [3 per cell]  6 Pd 2.74
As: 0.0000 0.5000 0.0000 [9 per cell]  6 Pd 2.43-2.69
Pd: 0.0026 0.5013 0.1814 [18 per cell]  1 As 2.43, 1 Pd 2.72
Pd: 0.0399 0.5199 0.3832 [18 per cell]  2 As 2.69, 1 Pd 2.72

Entry 18:
This record from Alexandria via LeMat-Bulk describes crystalline BaCaAs2Pd4 at its relaxed geometry. The functional is PBE.

Calculated values
crystal system	tetragonal
calculated density	6.6	g cm⁻³
density of states at the Fermi level	3.3	states/eV/cell
magnetization	0.000	μB per atom
E_tot	-4.87	eV/atom
ΔE_f	-4.981	eV per formula unit

abc: 4.3303 4.3303 10.1115
angles: 90.00 90.00 90.00
Closest atoms and distances in Å follow each position.
Space group P4/mmm (No. 123)
Asymmetric unit:
Ba: 0.0000 0.0000 0.0000 [1 per cell]  8 As 3.57, 8 Pd 3.67
Ca: 0.0000 0.0000 0.5000 [1 per cell]  8 Pd 3.02
As: 0.5000 0.5000 0.1825 [2 per cell]  4 Pd 2.43
Pd: 0.0000 0.5000 0.2925 [4 per cell]  2 As 2.43

Entry 19:
This record from Alexandria via LeMat-Bulk describes crystalline BaCaAs2Pt2 at its relaxed geometry. The functional is PBE.

Calculated values
crystal system	trigonal
calculated density	8.2	g cm⁻³
density of states at the Fermi level	4.0	states/eV/cell
magnetization	0.000	μB per atom
E_tot	-5.21	eV/atom
ΔE_f	-5.959	eV per formula unit

abc: 4.2976 4.2976 9.0852
angles: 90.00 90.00 120.00
Closest atoms and distances in Å follow each position.
Space group P-3m1 (No. 164)
Asymmetric unit:
Ba: 0.0000 0.0000 0.0000 [1 per cell]  6 As 3.46, 6 Pt 3.54
Ca: 0.0000 0.0000 0.5000 [1 per cell]  6 Pt 3.20, 6 As 3.27
As: 0.3333 0.6667 0.2648 [2 per cell]  3 Pt 2.48
Pt: 0.3333 0.6667 0.7228 [2 per cell]  3 As 2.48

Entry 20:
This record from Alexandria via LeMat-Bulk describes crystalline RbBaCa2As at its relaxed geometry. The functional is PBE.

Calculated values
crystal system	tetragonal
calculated density	2.7	g cm⁻³
density of states at the Fermi level	4.7	states/eV/cell
magnetization	0.138	μB per atom
E_tot	-2.69	eV/atom
ΔE_f	-1.924	eV per formula unit

abc: 5.9446 5.9446 6.6107
angles: 90.00 90.00 90.00
Closest atoms and distances in Å follow each position.
Space group P4/mmm (No. 123)
Asymmetric unit:
Rb: 0.0000 0.0000 0.0000 [1 per cell]  4 Ba 4.20, 8 Ca 4.45
Ba: 0.5000 0.5000 0.0000 [1 per cell]  2 As 3.31
Ca: 0.0000 0.5000 0.5000 [2 per cell]  2 As 2.97
As: 0.5000 0.5000 0.5000 [1 per cell]  4 Ca 2.97, 2 Ba 3.31